Density functional theory data (PBE) for a geometry-optimized PaSnPO structure. Values from VASP.

Properties
Uncorrected energy   -0.253 Ha/atom
Symmetry   Pmc2_1
Polymorph energy (0 for the lowest one)   5.6 kJ/mol of atoms
Calculated volume   22.89 A^3/atom

Cell and atoms, written as Quantum ESPRESSO input:
```
&SYSTEM
  ibrav = 0, nat = 8, ntyp = 4
/
ATOMIC_SPECIES
Pa 231.04 Pa.upf
Sn 118.71 Sn.upf
P 30.97 P.upf
O 16.00 O.upf
CELL_PARAMETERS angstrom
4.069 0.000 0.000
0.000 7.503 0.000
0.000 0.000 5.997
ATOMIC_POSITIONS angstrom
Pa 0.000 1.452 0.000
Pa 0.000 6.051 2.999
Sn 2.035 3.204 2.996
Sn 2.035 4.300 5.994
P 0.000 1.526 3.006
P 0.000 5.977 0.007
O 2.035 0.816 5.947
O 2.035 6.687 2.948
```